## YCuSi (PBEsol)

Data for a relaxed structure of YCuSi.

* DFT total energy: -6.358 eV/atom
* magnetization: 0.00 μB per formula unit
* N(E_F): 1.0 states/eV/f.u.
* uncorrected formation energy: -0.724 eV/atom
* V: 107.8 Å³ per cell

Cell lengths 4.096, 4.096, 7.418 Å; angles 90.00, 90.00, 120.00 degrees
Element x y z (fractional)
Y (0.000, 0.000, 0.000)
Y (0.000, 0.000, 0.500)
Si (0.667, 0.333, 0.250)
Si (0.333, 0.667, 0.750)
Cu (0.333, 0.667, 0.250)
Cu (0.667, 0.333, 0.750)


## YCuSi (PBEsol)

Data for a relaxed structure of YCuSi.

* DFT total energy: -6.331 eV/atom
* magnetization: 0.00 μB per formula unit
* N(E_F): 1.7 states/eV/f.u.
* uncorrected formation energy: -0.697 eV/atom
* V: 53.8 Å³ per cell

Cell lengths 3.736, 4.076, 4.076 Å; angles 120.00, 90.00, 90.00 degrees
Element x y z (fractional)
Y (0.500, 0.333, 0.667)
Si (0.000, 0.667, 0.333)
Cu (0.000, 0.000, 0.000)


## ZnCuSi2 (PBEsol)

Data for a relaxed structure of ZnCuSi2.

* DFT total energy: -4.184 eV/atom
* magnetization: 0.00 μB per formula unit
* N(E_F): 1.3 states/eV/f.u.
* uncorrected formation energy: 0.168 eV/atom
* V: 53.4 Å³ per cell

Cell lengths 2.671, 4.601, 4.622 Å; angles 100.07, 90.00, 106.88 degrees
Element x y z (fractional)
Cu (0.000, 0.000, 0.500)
Si (0.740, 0.479, 0.740)
Si (0.260, 0.521, 0.260)
Zn (0.500, 0.000, 0.000)


## Zr4CuSi (PBEsol)

Data for a relaxed structure of Zr4CuSi.

* DFT total energy: -7.262 eV/atom
* magnetization: 0.00 μB per formula unit
* N(E_F): 4.7 states/eV/f.u.
* uncorrected formation energy: 0.478 eV/atom
* V: 117.7 Å³ per cell

Cell lengths 5.501, 5.501, 5.501 Å; angles 60.00, 60.00, 60.00 degrees
Element x y z (fractional)
Cu (0.750, 0.750, 0.750)
Si (0.000, 0.000, 0.000)
Zr (0.375, 0.375, 0.375)
Zr (0.375, 0.375, 0.876)
Zr (0.876, 0.375, 0.375)
Zr (0.375, 0.876, 0.375)


## Zr2CuSi4 (PBEsol)

Data for a relaxed structure of Zr2CuSi4.

* DFT total energy: -7.182 eV/atom
* magnetization: 0.00 μB per formula unit
* N(E_F): 2.1 states/eV/f.u.
* uncorrected formation energy: -0.681 eV/atom
* V: 218.7 Å³ per cell

Cell lengths 3.664, 3.676, 16.347 Å; angles 83.54, 90.00, 90.00 degrees
Element x y z (fractional)
Zr (0.750, 0.677, 0.646)
Zr (0.250, 0.323, 0.354)
Zr (0.750, 0.954, 0.093)
Zr (0.250, 0.046, 0.907)
Cu (0.750, 0.250, 0.500)
Cu (0.250, 0.750, 0.500)
Si (0.750, 0.524, 0.951)
Si (0.250, 0.476, 0.049)
Si (0.750, 0.388, 0.225)
Si (0.250, 0.612, 0.775)
Si (0.750, 0.113, 0.775)
Si (0.250, 0.887, 0.225)
Si (0.750, 0.797, 0.406)
Si (0.250, 0.203, 0.594)


## ZrCuSi2 (PBEsol)

Data for a relaxed structure of ZrCuSi2.

* DFT total energy: -6.679 eV/atom
* magnetization: 0.00 μB per formula unit
* N(E_F): 1.8 states/eV/f.u.
* uncorrected formation energy: -0.450 eV/atom
* V: 60.8 Å³ per cell

Cell lengths 2.969, 3.948, 5.186 Å; angles 90.00, 90.00, 90.00 degrees
Element x y z (fractional)
Cu (0.000, 0.500, 0.000)
Si (0.000, 0.000, 0.249)
Si (0.000, 0.000, 0.751)
Zr (0.500, 0.500, 0.500)


## Zr3Cu4Si6 (PBEsol)

Data for a relaxed structure of Zr3Cu4Si6.

* DFT total energy: -6.685 eV/atom
* magnetization: 0.00 μB per formula unit
* N(E_F): 2.8 states/eV/f.u.
* uncorrected formation energy: -0.602 eV/atom
* V: 190.0 Å³ per cell

Cell lengths 3.692, 3.692, 14.185 Å; angles 97.48, 97.48, 90.00 degrees
Element x y z (fractional)
Cu (0.909, 0.409, 0.819)
Cu (0.409, 0.909, 0.819)
Cu (0.091, 0.591, 0.181)
Cu (0.591, 0.091, 0.181)
Si (0.750, 0.250, 0.500)
Si (0.250, 0.750, 0.500)
Si (0.541, 0.541, 0.082)
Si (0.459, 0.459, 0.918)
Si (0.147, 0.147, 0.293)
Si (0.853, 0.853, 0.707)
Zr (0.000, 0.000, 0.000)
Zr (0.675, 0.675, 0.349)
Zr (0.325, 0.325, 0.651)


## ZrCuSi2 (PBEsol)

Data for a relaxed structure of ZrCuSi2.

* DFT total energy: -6.841 eV/atom
* magnetization: 0.00 μB per formula unit
* N(E_F): 1.9 states/eV/f.u.
* uncorrected formation energy: -0.612 eV/atom
* V: 121.0 Å³ per cell

Cell lengths 3.670, 3.670, 8.981 Å; angles 90.00, 90.00, 90.00 degrees
Element x y z (fractional)
Si (0.500, 0.500, 0.500)
Si (0.000, 0.000, 0.500)
Si (0.500, 0.000, 0.170)
Si (0.000, 0.500, 0.830)
Cu (0.000, 0.000, 0.000)
Cu (0.500, 0.500, 0.000)
Zr (0.000, 0.500, 0.264)
Zr (0.500, 0.000, 0.736)


## Zr2CuSi (PBEsol)

Data for a relaxed structure of Zr2CuSi.

* DFT total energy: -7.301 eV/atom
* magnetization: 0.00 μB per formula unit
* N(E_F): 3.4 states/eV/f.u.
* uncorrected formation energy: -0.236 eV/atom
* V: 75.9 Å³ per cell

Cell lengths 3.712, 3.712, 6.713 Å; angles 89.93, 106.09, 120.06 degrees
Element x y z (fractional)
Cu (0.500, 0.500, 0.000)
Si (0.500, 0.000, 0.500)
Zr (0.007, 0.253, 0.260)
Zr (0.993, 0.747, 0.740)


## ZrCuSi2 (PBEsol)

Data for a relaxed structure of ZrCuSi2.

* DFT total energy: -6.165 eV/atom
* magnetization: 0.00 μB per formula unit
* N(E_F): 4.5 states/eV/f.u.
* uncorrected formation energy: 0.065 eV/atom
* V: 62.0 Å³ per cell

Cell lengths 4.442, 4.442, 4.442 Å; angles 60.00, 60.00, 60.00 degrees
Element x y z (fractional)
Cu (0.500, 0.500, 0.500)
Si (0.000, 0.000, 0.000)
Si (0.750, 0.750, 0.750)
Zr (0.250, 0.250, 0.250)


## Zr3CuSi (PBEsol)

Data for a relaxed structure of Zr3CuSi.

* DFT total energy: -7.062 eV/atom
* magnetization: 0.00 μB per formula unit
* N(E_F): 4.4 states/eV/f.u.
* uncorrected formation energy: 0.408 eV/atom
* V: 108.8 Å³ per cell

Cell lengths 4.775, 4.775, 4.775 Å; angles 90.00, 90.00, 90.00 degrees
Element x y z (fractional)
Si (0.500, 0.500, 0.500)
Cu (0.000, 0.000, 0.000)
Zr (0.000, 0.500, 0.000)
Zr (0.000, 0.000, 0.500)
Zr (0.500, 0.000, 0.000)


## SmCu (PBEsol)

Data for a relaxed structure of SmCu.

* ΔE_f: -0.149 eV per atom
* DFT total energy: -4.862 eV/atom
* magnetization: 0.00 μB per formula unit
* N(E_F): 1.3 states/eV/f.u.
* V: 42.1 Å³ per cell

Cell lengths 3.478, 3.478, 3.478 Å; angles 90.00, 90.00, 90.00 degrees
Element x y z (fractional)
Sm (0.000, 0.000, 0.000)
Cu (0.500, 0.500, 0.500)


## SmCu5 (PBEsol)

Data for a relaxed structure of SmCu5.

* ΔE_f: -0.169 eV per atom
* DFT total energy: -4.629 eV/atom
* magnetization: 0.00 μB per formula unit
* N(E_F): 3.0 states/eV/f.u.
* V: 87.0 Å³ per cell

Cell lengths 4.008, 5.005, 5.005 Å; angles 120.00, 90.00, 90.00 degrees
Element x y z (fractional)
Sm (0.000, 0.000, 0.000)
Cu (0.000, 0.333, 0.667)
Cu (0.000, 0.667, 0.333)
Cu (0.500, 0.000, 0.500)
Cu (0.500, 0.500, 0.500)
Cu (0.500, 0.500, 0.000)


## SmCu (PBEsol)

Data for a relaxed structure of SmCu.

* ΔE_f: -0.190 eV per atom
* DFT total energy: -4.903 eV/atom
* magnetization: 0.00 μB per formula unit
* N(E_F): 1.1 states/eV/f.u.
* V: 172.3 Å³ per cell

Cell lengths 4.439, 5.400, 7.189 Å; angles 90.00, 90.00, 90.00 degrees
Element x y z (fractional)
Sm (0.250, 0.623, 0.680)
Sm (0.750, 0.123, 0.820)
Sm (0.250, 0.877, 0.180)
Sm (0.750, 0.377, 0.320)
Cu (0.250, 0.117, 0.533)
Cu (0.750, 0.617, 0.967)
Cu (0.250, 0.383, 0.033)
Cu (0.750, 0.883, 0.467)


## SmCu2Sn2 (PBEsol)

Data for a relaxed structure of SmCu2Sn2.

* ΔE_f: -0.423 eV per atom
* DFT total energy: -4.878 eV/atom
* magnetization: 0.00 μB per formula unit
* N(E_F): 1.9 states/eV/f.u.
* V: 200.1 Å³ per cell

Cell lengths 4.359, 4.359, 10.530 Å; angles 90.00, 90.00, 90.00 degrees
Element x y z (fractional)
Cu (0.000, 0.500, 0.638)
Cu (0.500, 0.000, 0.362)
Cu (0.000, 0.000, 0.000)
Cu (0.500, 0.500, 0.000)
Sn (0.500, 0.500, 0.500)
Sn (0.000, 0.500, 0.872)
Sn (0.500, 0.000, 0.128)
Sn (0.000, 0.000, 0.500)
Sm (0.500, 0.000, 0.760)
Sm (0.000, 0.500, 0.240)


## Sm3Cu4Sn4 (PBEsol)

Data for a relaxed structure of Sm3Cu4Sn4.

* ΔE_f: -0.567 eV per atom
* DFT total energy: -5.080 eV/atom
* magnetization: 0.00 μB per formula unit
* N(E_F): 2.6 states/eV/f.u.
* V: 226.0 Å³ per cell

Cell lengths 4.478, 6.871, 8.413 Å; angles 114.10, 105.44, 90.00 degrees
Element x y z (fractional)
Cu (0.169, 0.484, 0.339)
Cu (0.831, 0.145, 0.661)
Cu (0.831, 0.516, 0.661)
Cu (0.169, 0.855, 0.339)
Sn (0.284, 0.284, 0.567)
Sn (0.716, 0.716, 0.433)
Sn (0.000, 0.798, 0.000)
Sn (0.000, 0.202, 0.000)
Sm (0.368, 0.868, 0.735)
Sm (0.632, 0.132, 0.265)
Sm (0.500, 0.500, 0.000)


## SmCu3Te3 (PBEsol)

Data for a relaxed structure of SmCu3Te3.

* DFT total energy: -4.593 eV/atom
* magnetization: 0.00 μB per formula unit
* uncorrected formation energy: -0.497 eV/atom
* V: 324.2 Å³ per cell

Cell lengths 7.350, 7.350, 8.125 Å; angles 63.11, 63.11, 60.00 degrees
Element x y z (fractional)
Sm (0.835, 0.835, 0.494)
Sm (0.165, 0.165, 0.506)
Cu (0.254, 0.639, 0.127)
Cu (0.639, 0.980, 0.127)
Cu (0.980, 0.254, 0.127)
Cu (0.020, 0.746, 0.873)
Cu (0.361, 0.020, 0.873)
Cu (0.746, 0.361, 0.873)
Te (0.104, 0.422, 0.751)
Te (0.723, 0.104, 0.751)
Te (0.422, 0.723, 0.751)
Te (0.578, 0.277, 0.249)
Te (0.277, 0.896, 0.249)
Te (0.896, 0.578, 0.249)


## Cu6Sn5 (PBEsol)

Data for a relaxed structure of Cu6Sn5.

* ΔE_f: -0.043 eV per atom
* DFT total energy: -4.343 eV/atom
* magnetization: 0.00 μB per formula unit
* N(E_F): 3.7 states/eV/f.u.
* V: 380.9 Å³ per cell

Cell lengths 6.536, 6.536, 9.776 Å; angles 82.66, 82.66, 67.36 degrees
Element x y z (fractional)
Cu (0.574, 0.629, 0.297)
Cu (0.371, 0.426, 0.203)
Cu (0.426, 0.371, 0.703)
Cu (0.629, 0.574, 0.797)
Cu (0.811, 0.802, 0.891)
Cu (0.198, 0.189, 0.609)
Cu (0.189, 0.198, 0.109)
Cu (0.802, 0.811, 0.391)
Cu (0.000, 0.000, 0.500)
Cu (0.000, 0.000, 0.000)
Cu (0.161, 0.839, 0.250)
Cu (0.839, 0.161, 0.750)
Sn (0.555, 0.229, 0.971)
Sn (0.771, 0.445, 0.529)
Sn (0.445, 0.771, 0.029)
Sn (0.229, 0.555, 0.471)
Sn (0.941, 0.631, 0.143)
Sn (0.369, 0.059, 0.357)
Sn (0.059, 0.369, 0.857)
Sn (0.631, 0.941, 0.643)
Sn (0.800, 0.200, 0.250)
Sn (0.200, 0.800, 0.750)


## SrCu4Sn2 (PBEsol)

Data for a relaxed structure of SrCu4Sn2.

* ΔE_f: -0.240 eV per atom
* DFT total energy: -4.197 eV/atom
* magnetization: 0.00 μB per formula unit
* N(E_F): 1.8 states/eV/f.u.
* V: 251.9 Å³ per cell

Cell lengths 6.894, 6.894, 6.894 Å; angles 108.42, 108.42, 111.60 degrees
Element x y z (fractional)
Sr (0.250, 0.250, 0.000)
Sr (0.750, 0.750, 0.000)
Cu (0.527, 0.296, 0.500)
Cu (0.796, 0.027, 0.500)
Cu (0.296, 0.796, 0.769)
Cu (0.027, 0.527, 0.231)
Cu (0.473, 0.704, 0.500)
Cu (0.204, 0.973, 0.500)
Cu (0.704, 0.204, 0.231)
Cu (0.973, 0.473, 0.769)
Sn (0.838, 0.662, 0.500)
Sn (0.162, 0.338, 0.500)
Sn (0.662, 0.162, 0.825)
Sn (0.338, 0.838, 0.175)


## SrCuSn2 (PBEsol)

Data for a relaxed structure of SrCuSn2.

* ΔE_f: -0.453 eV per atom
* DFT total energy: -4.126 eV/atom
* magnetization: 0.00 μB per formula unit
* N(E_F): 1.3 states/eV/f.u.
* V: 197.4 Å³ per cell

Cell lengths 4.515, 4.530, 9.913 Å; angles 76.79, 90.00, 90.00 degrees
Element x y z (fractional)
Sr (0.250, 0.608, 0.783)
Sr (0.750, 0.392, 0.217)
Sn (0.750, 0.750, 0.499)
Sn (0.750, 0.043, 0.914)
Sn (0.250, 0.250, 0.501)
Sn (0.250, 0.957, 0.086)
Cu (0.250, 0.825, 0.350)
Cu (0.750, 0.175, 0.650)


## SrTiCu2Sn (PBEsol)

Data for a relaxed structure of SrTiCu2Sn.

* ΔE_f: 0.334 eV per atom
* DFT total energy: -4.284 eV/atom
* magnetization: 0.00 μB per formula unit
* N(E_F): 5.6 states/eV/f.u.
* V: 118.7 Å³ per cell

Cell lengths 4.807, 4.807, 5.136 Å; angles 90.00, 90.00, 90.00 degrees
Element x y z (fractional)
Sr (0.500, 0.500, 0.500)
Sn (0.000, 0.000, 0.500)
Cu (0.000, 0.500, 0.000)
Cu (0.500, 0.000, 0.000)
Ti (0.000, 0.000, 0.000)


## Tb3Cu4Sn4 (PBEsol)

Data for a relaxed structure of Tb3Cu4Sn4.

* ΔE_f: -0.559 eV per atom
* DFT total energy: -5.051 eV/atom
* magnetization: 0.00 μB per formula unit
* N(E_F): 2.6 states/eV/f.u.
* V: 219.6 Å³ per cell

Cell lengths 4.422, 6.837, 8.327 Å; angles 114.24, 105.40, 90.00 degrees
Element x y z (fractional)
Tb (0.868, 0.368, 0.737)
Tb (0.000, 0.000, 0.000)
Tb (0.132, 0.632, 0.263)
Cu (0.670, 0.983, 0.341)
Cu (0.330, 0.642, 0.659)
Cu (0.670, 0.358, 0.341)
Cu (0.330, 0.017, 0.659)
Sn (0.500, 0.703, 0.000)
Sn (0.500, 0.297, 0.000)
Sn (0.784, 0.784, 0.568)
Sn (0.216, 0.216, 0.432)


## TbCuSn (PBEsol)

Data for a relaxed structure of TbCuSn.

* ΔE_f: -0.644 eV per atom
* DFT total energy: -5.178 eV/atom
* magnetization: 0.00 μB per formula unit
* N(E_F): 0.3 states/eV/f.u.
* V: 125.0 Å³ per cell

Cell lengths 4.481, 4.481, 7.188 Å; angles 90.00, 90.00, 120.00 degrees
Element x y z (fractional)
Tb (0.000, 0.000, 0.001)
Tb (0.000, 0.000, 0.501)
Sn (0.333, 0.667, 0.232)
Sn (0.667, 0.333, 0.732)
Cu (0.333, 0.667, 0.822)
Cu (0.667, 0.333, 0.322)


## TbCuSn (PBEsol)

Data for a relaxed structure of TbCuSn.

* ΔE_f: -0.596 eV per atom
* DFT total energy: -5.131 eV/atom
* magnetization: 0.00 μB per formula unit
* N(E_F): 1.1 states/eV/f.u.
* V: 126.1 Å³ per cell

Cell lengths 4.462, 4.462, 7.315 Å; angles 90.00, 90.00, 120.00 degrees
Element x y z (fractional)
Tb (0.000, 0.000, 0.000)
Tb (0.000, 0.000, 0.500)
Cu (0.333, 0.667, 0.250)
Cu (0.667, 0.333, 0.750)
Sn (0.333, 0.667, 0.750)
Sn (0.667, 0.333, 0.250)